A plane-wave DFT calculation with GGA-PBE was carried out for a relaxed structure of Cs2LaHI6.

Computed properties:
E_tot in eV per cell: -31.33
E above lowest polymorph in kJ/mol of atoms: 0.0

abc: 7.797 8.979 9.051
angles: 112.83 110.30 101.89
Space group P-1 (No. 2)
Asymmetric unit:
1 Cs 0.059 0.312 0.228 x2
2 La 0.500 0.000 0.500 x1
3 H 0.500 0.500 0.000 x1
4 I 0.048 0.904 0.277 x2
5 I 0.377 0.633 0.119 x2
6 I 0.412 0.762 0.668 x2